# AlRe3Te PBE optimized geometry
data_AlRe3Te
_chemical_formula_sum 'Al1 Re3 Te1'
_space_group_name_H-M_alt 'P m -3 m'
_space_group_IT_number 221
_space_group_name_Hall '-P 4 2 3'
_cell_length_a 4.555
_cell_length_b 4.555
_cell_length_c 4.555
_cell_angle_alpha 90.00
_cell_angle_beta 90.00
_cell_angle_gamma 90.00
loop_
_atom_site_label
_atom_site_fract_x
_atom_site_fract_y
_atom_site_fract_z
Al1 0.000 0.000 0.000
Re1 0.000 0.000 0.500
Te1 0.500 0.500 0.500
# Energy above the lowest structure with this stoichiometry ... 0 meV/atom
# Formation energy without anion corrections ... 1.848 eV per atom